(1)
Density functional theory data (PBE-GGA) for Pm2SmAl4Pt3 after structural relaxation.

a b c (Å): 4.2855 4.2855 11.5684
angles (deg): 90.00 90.00 90.00
Last column: nearest neighbours and their distance in Å.
Atoms (fractional coordinates):
Pm (0.0000, 0.5000, 0.2249)  8 Al 3.26-3.37, 4 Pt 3.27
Pm (0.5000, 0.0000, 0.7751)  8 Al 3.26-3.37, 4 Pt 3.27
Sm (0.0000, 0.0000, 0.5000)  4 Al 2.93, 4 Pt 3.03
Al (0.0000, 0.0000, 0.0000)  4 Pt 2.54
Al (0.0000, 0.5000, 0.6722)  1 Pt 2.43
Al (0.5000, 0.0000, 0.3278)  1 Pt 2.43
Al (0.5000, 0.5000, 0.0000)  4 Pt 2.54
Pt (0.0000, 0.5000, 0.8818)  5 Al 2.43-2.54
Pt (0.5000, 0.0000, 0.1182)  5 Al 2.43-2.54
Pt (0.5000, 0.5000, 0.5000)  4 Al 2.93, 4 Sm 3.03

ΔH_f (0 K), meV per atom: -884
V, Å³/atom: 21.25

(2)
Density functional theory data (PBE-GGA) for Pm4PrRh5 after structural relaxation.

a b c (Å): 3.5678 3.5678 17.2488
angles (deg): 90.00 90.00 90.00
Last column: nearest neighbours and their distance in Å.
Atoms (fractional coordinates):
Pm (0.0000, 0.0000, 0.0994)  8 Rh 3.05
Pm (0.0000, 0.0000, 0.2984)  8 Rh 3.04-3.05
Pm (0.0000, 0.0000, 0.7016)  8 Rh 3.04-3.05
Pm (0.0000, 0.0000, 0.9006)  8 Rh 3.05
Pr (0.0000, 0.0000, 0.5000)  8 Rh 3.09
Rh (0.5000, 0.5000, 0.0000)  8 Pm 3.05
Rh (0.5000, 0.5000, 0.1986)  8 Pm 3.05
Rh (0.5000, 0.5000, 0.3966)  4 Pm 3.04, 4 Pr 3.09
Rh (0.5000, 0.5000, 0.6034)  4 Pm 3.04, 4 Pr 3.09
Rh (0.5000, 0.5000, 0.8014)  8 Pm 3.05

ΔH_f (0 K), meV per atom: -659
V, Å³/atom: 21.96

(3)
Density functional theory data (PBE-GGA) for Pr6TmTl5 after structural relaxation.

a b c (Å): 9.4097 9.4097 9.4097
angles (deg): 148.33 121.64 67.93
Last column: nearest neighbours and their distance in Å.
Atoms (fractional coordinates):
Pr (0.0690, 0.3287, 0.7403)  7 Tl 3.38-3.56, 4 Pr 3.56-3.71, 1 Tm 3.58
Pr (0.2353, 0.0000, 0.2353)  6 Tl 3.35-3.45, 2 Tm 3.53, 4 Pr 3.71
Pr (0.4115, 0.6713, 0.7403)  7 Tl 3.38-3.56, 4 Pr 3.56-3.71, 1 Tm 3.58
Pr (0.5885, 0.3287, 0.2597)  7 Tl 3.38-3.56, 4 Pr 3.56-3.71, 1 Tm 3.58
Pr (0.7647, 0.0000, 0.7647)  6 Tl 3.35-3.45, 2 Tm 3.53, 4 Pr 3.71
Pr (0.9310, 0.6713, 0.2597)  7 Tl 3.38-3.56, 4 Pr 3.56-3.71, 1 Tm 3.58
Tm (0.5000, 0.5000, 0.0000)  4 Tl 3.47, 8 Pr 3.53-3.58
Tl (0.0000, 0.5000, 0.5000)  8 Pr 3.35-3.46, 4 Tl 3.72
Tl (0.1721, 0.1721, 0.0000)  8 Pr 3.38-3.45, 4 Tl 3.72-3.78
Tl (0.3501, 0.8501, 0.5000)  8 Pr 3.37-3.56, 2 Tm 3.47
Tl (0.6499, 0.1499, 0.5000)  8 Pr 3.37-3.56, 2 Tm 3.47
Tl (0.8279, 0.8279, 0.0000)  8 Pr 3.38-3.45, 4 Tl 3.72-3.78

Energy above the lowest structure with this stoichiometry, eV/atom: 0.000
ΔH_f (0 K), meV per atom: -302
V, Å³/atom: 30.64

(4)
Density functional theory data (PBE-GGA) for GaSnSeBr2 after structural relaxation.

a b c (Å): 5.2071 5.2071 5.1410
angles (deg): 90.00 90.00 90.00
Last column: nearest neighbours and their distance in Å.
Atoms (fractional coordinates):
Ga (0.0000, 0.0000, 0.0000)  2 Se 2.57, 4 Br 2.60
Sn (0.5000, 0.5000, 0.5000)  8 Br 3.66, 4 Se 3.68
Se (0.0000, 0.0000, 0.5000)  2 Ga 2.57
Br (0.0000, 0.5000, 0.0000)  2 Ga 2.60
Br (0.5000, 0.0000, 0.0000)  2 Ga 2.60

Energy above the lowest structure with this stoichiometry, eV/atom: 0.048
V, Å³/atom: 27.88
Formation energy (no corrections), meV per atom: -227

(5)
Density functional theory data (PBE-GGA) for LiCa2In5Ni2 after structural relaxation.

a b c (Å): 10.7061 10.7061 3.7571
angles (deg): 90.00 90.00 90.00
Last column: nearest neighbours and their distance in Å.
Atoms (fractional coordinates):
Li (0.0000, 0.0000, 0.0000)  8 In 2.96
Li (0.5000, 0.5000, 0.0000)  8 In 2.96
Ca (0.1812, 0.3188, 0.0000)  3 Ni 2.99-3.30, 2 In 3.32
Ca (0.3188, 0.8188, 0.0000)  3 Ni 2.99-3.30, 2 In 3.32
Ca (0.6812, 0.1812, 0.0000)  3 Ni 2.99-3.30, 2 In 3.32
Ca (0.8188, 0.6812, 0.0000)  3 Ni 2.99-3.30, 2 In 3.32
In (0.0000, 0.5000, 0.5000)  4 Ni 2.63
In (0.0607, 0.7948, 0.5000)  2 Ni 2.72, 2 Li 2.96
In (0.2052, 0.0607, 0.5000)  2 Ni 2.72, 2 Li 2.96
In (0.2948, 0.5607, 0.5000)  2 Ni 2.72, 2 Li 2.96
In (0.4393, 0.2948, 0.5000)  2 Ni 2.72, 2 Li 2.96
In (0.5000, 0.0000, 0.5000)  4 Ni 2.63
In (0.5607, 0.7052, 0.5000)  2 Ni 2.72, 2 Li 2.96
In (0.7052, 0.4393, 0.5000)  2 Ni 2.72, 2 Li 2.96
In (0.7948, 0.9393, 0.5000)  2 Ni 2.72, 2 Li 2.96
In (0.9393, 0.2052, 0.5000)  2 Ni 2.72, 2 Li 2.96
Ni (0.1212, 0.6212, 0.0000)  6 In 2.63-2.72
Ni (0.3788, 0.1212, 0.0000)  6 In 2.63-2.72
Ni (0.6212, 0.8788, 0.0000)  6 In 2.63-2.72
Ni (0.8788, 0.3788, 0.0000)  6 In 2.63-2.72

ΔH_f (0 K), meV per atom: -327
V, Å³/atom: 21.53

(6)
Density functional theory data (PBE-GGA) for LaRu2Au after structural relaxation.

a b c (Å): 10.0037 10.0037 10.0037
angles (deg): 16.82 16.82 16.82
Last column: nearest neighbours and their distance in Å.
Atoms (fractional coordinates):
La (0.0000, 0.0000, 0.0000)  6 La 2.93, 6 Ru 3.16
Ru (0.2432, 0.2432, 0.2432)  3 Au 2.83, 6 Ru 2.93, 3 La 3.16
Ru (0.7568, 0.7568, 0.7568)  3 Au 2.83, 6 Ru 2.93, 3 La 3.16
Au (0.5000, 0.5000, 0.5000)  6 Ru 2.83, 6 Au 2.93

Energy above the lowest structure with this stoichiometry, eV/atom: 0.598
ΔH_f (0 K), meV per atom: 683
V, Å³/atom: 18.28

(7)
Density functional theory data (PBE-GGA) for La3Nd2Er3 after structural relaxation.

a b c (Å): 11.0023 11.0023 11.0023
angles (deg): 153.36 152.77 38.46
Last column: nearest neighbours and their distance in Å.
Atoms (fractional coordinates):
La (0.0000, 0.0000, 0.0000)  4 La 3.62, 8 Er 3.62-3.64
La (0.3780, 0.8780, 0.5000)  6 Er 3.58-3.62, 2 La 3.62, 4 Nd 3.69-3.70
La (0.6220, 0.1220, 0.5000)  6 Er 3.58-3.62, 2 La 3.62, 4 Nd 3.69-3.70
Nd (0.2487, 0.2487, 0.0000)  4 Er 3.60-3.68, 4 Nd 3.62, 4 La 3.69-3.70
Nd (0.7513, 0.7513, 0.0000)  4 Er 3.60-3.68, 4 Nd 3.62, 4 La 3.69-3.70
Er (0.1257, 0.6257, 0.5000)  4 Nd 3.60-3.68, 6 La 3.62-3.64, 2 Er 3.68
Er (0.5000, 0.5000, 0.0000)  8 La 3.58-3.62, 4 Er 3.68
Er (0.8743, 0.3743, 0.5000)  4 Nd 3.60-3.68, 6 La 3.62-3.64, 2 Er 3.68

Energy above the lowest structure with this stoichiometry, eV/atom: 0.000
ΔH_f (0 K), meV per atom: 27
V, Å³/atom: 34.10

(8)
Density functional theory data (PBE-GGA) for TaCoBr2 after structural relaxation.

a b c (Å): 8.3182 8.3182 8.3182
angles (deg): 157.41 152.94 35.53
Last column: nearest neighbours and their distance in Å.
Atoms (fractional coordinates):
Ta (0.0000, 0.0000, 0.0000)  4 Co 2.54, 4 Br 2.72
Co (0.5000, 0.5000, 0.0000)  4 Ta 2.54
Br (0.1374, 0.6374, 0.5000)  2 Ta 2.72, 2 Co 2.92
Br (0.8626, 0.3626, 0.5000)  2 Ta 2.72, 2 Co 2.92

Energy above the lowest structure with this stoichiometry, eV/atom: 0.303
V, Å³/atom: 25.12
Formation energy (no corrections), meV per atom: 28

(9)
Density functional theory data (PBE-GGA) for TeMoBr2 after structural relaxation.

a b c (Å): 7.1430 7.1430 7.1430
angles (deg): 97.72 97.72 137.00
Last column: nearest neighbours and their distance in Å.
Atoms (fractional coordinates):
Te (0.0000, 0.0000, 0.0000)  2 Mo 2.62
Te (0.7500, 0.2500, 0.5000)  2 Mo 2.62
Mo (0.2500, 0.7500, 0.5000)  2 Te 2.62, 4 Br 2.66
Mo (0.5000, 0.5000, 0.0000)  2 Te 2.62, 4 Br 2.66
Br (0.2614, 0.6250, 0.1364)  2 Mo 2.66
Br (0.3750, 0.5114, 0.6364)  2 Mo 2.66
Br (0.4886, 0.1250, 0.8636)  2 Mo 2.66
Br (0.8750, 0.7386, 0.3636)  2 Mo 2.66

Energy above the lowest structure with this stoichiometry, eV/atom: 0.307
V, Å³/atom: 28.91
Formation energy (no corrections), meV per atom: 97

(10)
Density functional theory data (PBE-GGA) for CuAg2Pd5 after structural relaxation.

a b c (Å): 5.4808 5.4808 5.4808
angles (deg): 107.71 107.71 113.06
Last column: nearest neighbours and their distance in Å.
Atoms (fractional coordinates):
Cu (0.0000, 0.0000, 0.0000)  10 Pd 2.74-3.03
Ag (0.9996, 0.4996, 0.5000)  8 Pd 2.74, 2 Ag 3.02
Ag (0.4996, 0.9996, 0.5000)  8 Pd 2.74, 2 Ag 3.02
Pd (0.4990, 0.4990, 0.0000)  8 Pd 2.74, 2 Cu 3.02-3.03
Pd (0.4999, 0.4999, 0.5006)  2 Cu 2.74, 4 Pd 2.74-3.02, 4 Ag 2.74
Pd (0.4999, 0.9993, 0.0000)  2 Cu 2.74, 4 Pd 2.74-3.02, 4 Ag 2.74
Pd (0.9993, 0.4999, 0.0000)  2 Cu 2.74, 4 Pd 2.74-3.02, 4 Ag 2.74
Pd (0.9993, 0.9993, 0.4994)  2 Cu 2.74, 4 Pd 2.74-3.02, 4 Ag 2.74

ΔH_f (0 K), meV per atom: 30
V, Å³/atom: 15.80

(11)
Density functional theory data (PBE-GGA) for Ho5Er8Cd after structural relaxation.

a b c (Å): 8.3069 8.3069 8.3069
angles (deg): 110.53 110.53 107.38
Last column: nearest neighbours and their distance in Å.
Atoms (fractional coordinates):
Ho (0.0000, 0.0000, 0.0000)  8 Er 3.10-3.28
Ho (0.3169, 0.6266, 0.1051)  8 Er 3.30-3.57, 2 Ho 3.48
Ho (0.3734, 0.4785, 0.6904)  8 Er 3.30-3.57, 2 Ho 3.48
Ho (0.5215, 0.2118, 0.8949)  8 Er 3.30-3.57, 2 Ho 3.48
Ho (0.7882, 0.6831, 0.3096)  8 Er 3.30-3.57, 2 Ho 3.48
Er (0.0234, 0.4175, 0.2580)  5 Ho 3.28-3.57, 4 Er 3.54-3.63
Er (0.0601, 0.1573, 0.7258)  1 Cd 3.09, 4 Ho 3.10-3.41
Er (0.1596, 0.7655, 0.7420)  5 Ho 3.28-3.57, 4 Er 3.54-3.63
Er (0.2345, 0.9766, 0.3941)  5 Ho 3.28-3.57, 4 Er 3.54-3.63
Er (0.4315, 0.3342, 0.2742)  1 Cd 3.09, 4 Ho 3.10-3.41
Er (0.5825, 0.8404, 0.6059)  5 Ho 3.28-3.57, 4 Er 3.54-3.63
Er (0.6658, 0.9399, 0.0973)  1 Cd 3.09, 4 Ho 3.10-3.41
Er (0.8427, 0.5685, 0.9027)  1 Cd 3.09, 4 Ho 3.10-3.41
Cd (0.7500, 0.2500, 0.5000)  4 Er 3.09

ΔH_f (0 K), meV per atom: 206
V, Å³/atom: 31.49